Record 1
ZrRu2Br: optimized geometry, PBE-GGA.

V: 72.93 Å³ per cell
energy above the most stable polymorph in this dataset: 410 meV/atom
raw formation energy: 38.2 kJ per mole of atoms

abc: 3.0740 3.0740 8.5676
angles: 90.00 90.00 115.73
Fractional positions:
Ru 0.0000 0.0000 0.0112
Ru 0.0000 0.0000 0.4888
Br 0.5000 0.5000 0.7500
Zr 0.5000 0.5000 0.2500

***

Record 2
Y2PCl: optimized geometry, PBE-GGA.

V: 93.28 Å³ per cell
raw formation energy: -118.2 kJ per mole of atoms

abc: 3.5890 3.5544 7.3125
angles: 89.95 90.00 90.00
Site moments in Bohr magnetons follow the coordinates.
Fractional positions:
Cl 0.5000 0.2500 0.2500  0.00
P 0.5000 0.7500 0.7500  -0.01
Y 0.0000 0.2499 0.9655  0.11
Y 0.0000 0.2501 0.5345  0.11

***

Record 3
CaNi3: optimized geometry, PBE-GGA.

V: 56.29 Å³ per cell
E: -4.589 eV/atom

abc: 4.4876 4.4876 2.8755
angles: 90.00 90.00 103.57
Site moments in Bohr magnetons follow the coordinates.
Fractional positions:
Ni 0.0000 0.5000 0.5000  0.13
Ni 0.5000 0.0000 0.5000  0.13
Ni 0.5000 0.5000 0.0000  0.16
Ca 0.0000 0.0000 0.0000  -0.01